DFT (PBE) results for a relaxed BaCa2ScPt crystal.

The calculation puts the final energy at -4.06 eV/atom. As for the crystal system: tetragonal. Its size of the total moment is 0.0 μB/f.u. The density of states at the Fermi level comes out at 1.08 states/eV/atom.

The structure belongs to space group P4/mmm (No. 123); the cell edges are 5.7833, 5.7833 and 5.2174 Å and the angles 90.00°, 90.00° and 90.00°. The inequivalent atoms are Ba at (0.0000, 0.0000, 0.0000), Ca at (0.0000, 0.5000, 0.5000), Sc at (0.5000, 0.5000, 0.0000) and Pt at (0.5000, 0.5000, 0.5000).